DyGa2Au after structural relaxation, computed with GGA-PBE.

The structure in POSCAR format:
```
DyGa2Au
1.0
-1.871 -2.915 -4.717
0.600 -5.788 3.339
-7.744 0.714 2.630
Au Ga Dy
4 8 4
direct
0.155 0.750 0.065
0.655 0.250 0.435
0.345 0.750 0.565
0.845 0.250 0.935
0.590 0.454 0.709
0.410 0.954 0.291
0.910 0.454 0.209
0.090 0.954 0.791
0.090 0.546 0.791
0.910 0.046 0.209
0.410 0.546 0.291
0.590 0.046 0.709
0.650 0.750 0.974
0.350 0.250 0.026
0.850 0.750 0.474
0.150 0.250 0.526
```

Summary:
The calculated volume comes out at 20.148 A^3/atom. The space-group type is Pnma (62).

---

Dy3Ga8Au3 after structural relaxation, computed with GGA-PBE.

The structure in POSCAR format:
```
Dy3Ga8Au3
1.0
4.210 0.000 1.111
1.486 7.714 2.903
0.086 -0.612 8.211
Ga Au Dy
8 3 3
direct
0.490 0.701 0.318
0.142 0.576 0.139
0.858 0.424 0.861
0.148 0.125 0.578
0.659 0.959 0.723
0.510 0.299 0.682
0.341 0.041 0.277
0.852 0.875 0.422
0.000 0.500 0.500
0.348 0.291 0.014
0.652 0.709 0.986
0.000 0.000 0.000
0.693 0.319 0.296
0.307 0.681 0.704
```

Summary:
The energy above the most stable polymorph in this dataset is 0.000 eV per formula unit. The calculated volume comes out at 19.458 A^3/atom. The space-group type is C2/m (12).

---

Dy5GaAu4 after structural relaxation, computed with GGA-PBE.

The structure in POSCAR format:
```
Dy5GaAu4
1.0
3.580 0.000 0.000
0.000 3.580 0.000
0.000 0.000 18.121
Au Dy Ga
4 5 1
direct
0.000 0.000 0.400
0.000 0.000 0.600
0.000 0.000 0.198
0.000 0.000 0.802
0.500 0.500 0.100
0.500 0.500 0.299
0.500 0.500 0.701
0.500 0.500 0.900
0.500 0.500 0.500
0.000 0.000 0.000
```

Summary:
The calculated volume comes out at 23.228 A^3/atom. The space-group type is P4/mmm (123).

---

DyGa2Au after structural relaxation, computed with GGA-PBE.

The structure in POSCAR format:
```
DyGa2Au
1.0
4.352 0.000 0.000
2.176 3.769 0.000
2.176 1.256 4.970
Ga Au Dy
2 1 1
direct
0.223 0.223 0.330
0.777 0.777 0.670
0.500 0.500 0.500
0.000 0.000 0.000
```

Summary:
The calculated volume comes out at 20.377 A^3/atom. The space-group type is R-3m (166).

---

Dy2Ga2Au after structural relaxation, computed with GGA-PBE.

The structure in POSCAR format:
```
Dy2Ga2Au
1.0
4.427 0.000 0.000
2.214 5.332 -0.226
2.214 -0.062 9.392
Dy Au Ga
4 2 4
direct
0.685 0.302 0.328
0.315 0.698 0.672
0.924 0.261 0.891
0.076 0.739 0.109
0.388 0.886 0.338
0.612 0.114 0.662
0.079 0.285 0.557
0.921 0.715 0.443
0.362 0.168 0.108
0.638 0.832 0.892
```

Summary:
The calculated volume comes out at 22.165 A^3/atom. The space-group type is C2/m (12).

---

DyGa6Au12 after structural relaxation, computed with GGA-PBE.

The structure in POSCAR format:
```
DyGa6Au12
1.0
7.581 -0.130 -0.184
-2.006 7.312 -0.184
-2.006 -2.583 6.843
Ga Au Dy
6 12 1
direct
0.716 0.306 0.716
0.716 0.716 0.306
0.284 0.284 0.694
0.694 0.284 0.284
0.306 0.716 0.716
0.284 0.694 0.284
0.500 0.881 0.119
0.881 0.500 0.119
0.881 0.119 0.500
0.634 0.634 0.876
0.366 0.366 0.124
0.500 0.119 0.881
0.119 0.881 0.500
0.366 0.124 0.366
0.876 0.634 0.634
0.124 0.366 0.366
0.119 0.500 0.881
0.634 0.876 0.634
0.000 0.000 0.000
```

Summary:
The calculated volume comes out at 19.488 A^3/atom. The space-group type is R-3m (166).

---

DyGa2Au after structural relaxation, computed with GGA-PBE.

The structure in POSCAR format:
```
DyGa2Au
1.0
4.284 0.000 0.000
0.000 4.297 0.000
0.000 0.000 4.297
Dy Ga Au
1 2 1
direct
0.500 0.500 0.500
0.000 0.500 0.000
0.000 0.000 0.500
0.500 0.000 0.000
```

Summary:
The calculated volume comes out at 19.779 A^3/atom. The space-group type is P4/mmm (123).

---

DyGa3Au3 after structural relaxation, computed with GGA-PBE.

The structure in POSCAR format:
```
DyGa3Au3
1.0
-3.524 -5.729 1.953
-0.282 -2.101 -6.675
6.046 -3.437 0.826
Au Ga Dy
6 6 2
direct
0.000 0.250 0.500
0.250 0.500 0.000
0.500 0.000 0.750
0.000 0.750 0.500
0.750 0.500 0.000
0.500 0.000 0.250
0.500 0.250 0.000
0.000 0.500 0.250
0.750 0.000 0.500
0.250 0.000 0.500
0.000 0.500 0.750
0.500 0.750 0.000
0.000 0.000 0.000
0.500 0.500 0.500
```

Summary:
The energy above the most stable polymorph in this dataset is 2.536 eV per formula unit. The calculated volume comes out at 24.540 A^3/atom. The space-group type is Pm-3n (223).

---

Number 1: size of the total moment 0.000 μB per cell, calculated formation energy -222 kJ/mol of formula units, D(E_F) 6.46 states/eV per cell. Number 2: size of the total moment 0.000 μB per cell, calculated formation energy -756 kJ/mol of formula units, D(E_F) 6.81 states/eV per cell. Number 3: size of the total moment 0.000 μB per cell, calculated formation energy -776 kJ/mol of formula units, D(E_F) 5.66 states/eV per cell. Number 4: size of the total moment 0.000 μB per cell, calculated formation energy -219 kJ/mol of formula units, D(E_F) 1.62 states/eV per cell. Number 5: size of the total moment 0.000 μB per cell, calculated formation energy -354 kJ/mol of formula units, D(E_F) 4.11 states/eV per cell. Number 6: size of the total moment 0.000 μB per cell, calculated formation energy -355 kJ/mol of formula units, D(E_F) 5.00 states/eV per cell. Number 7: size of the total moment 0.000 μB per cell, calculated formation energy -221 kJ/mol of formula units, D(E_F) 0.58 states/eV per cell. Number 8: size of the total moment 0.000 μB per cell, calculated formation energy -26 kJ/mol of formula units, D(E_F) 8.49 states/eV per cell.